1.
PBE Ta2FeBi2Os, relaxed; raw total energy = -8.405 eV per atom; SG = No. 6
1.0
-2.991 4.478 5.401
-3.037 -3.055 0.851
9.698 -7.413 7.994
Bi Fe Ta Os
8 4 8 4
direct
0.827 0.500 0.940 Bi
0.564 0.500 0.188 Bi
0.297 0.000 0.930 Bi
0.315 0.500 0.446 Bi
0.060 0.000 0.180 Bi
0.815 0.000 0.446 Bi
0.073 0.500 0.685 Bi
0.547 0.000 0.682 Bi
0.247 0.000 0.747 Fe
0.500 0.000 0.501 Fe
0.001 0.500 0.503 Fe
0.001 0.000 0.998 Fe
0.689 0.000 0.060 Ta
0.439 0.000 0.319 Ta
0.937 0.000 0.809 Ta
0.184 0.000 0.562 Ta
0.941 0.500 0.319 Ta
0.187 0.500 0.061 Ta
0.688 0.500 0.561 Ta
0.435 0.500 0.810 Ta
0.499 0.500 0.997 Os
0.250 0.500 0.253 Os
0.750 0.500 0.748 Os
0.753 0.000 0.254 Os

2.
PBE GaCuNiIr, relaxed; distance to the lowest polymorph of the same formula = 0.0 meV/atom; SG = No. 216
1.0
0.000 2.959 2.959
2.959 0.000 2.959
2.959 2.959 0.000
Ga Ni Cu Ir
1 1 1 1
direct
0.000 0.000 0.000 Ga
0.500 0.500 0.500 Ni
0.750 0.750 0.750 Cu
0.250 0.250 0.250 Ir